[1]
First-principles (PBE) data for a geometry-optimized AlCr2W structure, as listed in Alexandria.

a = 4.965 Å, b = 4.965 Å, c = 2.622 Å
α = 100.78°, β = 100.78°, γ = 116.00°
Fractional positions:
Al  0.000  0.000  0.000
Cr  0.000  0.500  0.500
Cr  0.500  0.000  0.500
W  0.500  0.500  0.000

Properties
The value obtained for the theoretical density is 9.62 g/cm³. The energy of formation is 0.092 eV/atom. For the total magnetization, the calculation gives 0.000 μB/atom.

***

[2]
First-principles (PBE) data for a geometry-optimized Al2CrW structure, as listed in Alexandria.

a = 2.722 Å, b = 2.722 Å, c = 7.876 Å
α = 90.00°, β = 90.00°, γ = 90.00°
Fractional positions:
Al  0.000  0.000  0.232
Al  0.000  0.000  0.768
Cr  0.500  0.500  0.000
W  0.500  0.500  0.500

Properties
The value obtained for the theoretical density is 8.24 g/cm³. The energy of formation is 0.053 eV/atom. For the total magnetization, the calculation gives 0.424 μB/atom.

***

[3]
First-principles (PBE) data for a geometry-optimized AlCr2W structure, as listed in Alexandria.

a = 4.220 Å, b = 4.220 Å, c = 3.100 Å
α = 90.00°, β = 90.00°, γ = 90.00°
Fractional positions:
Al  0.000  0.000  0.000
Cr  0.000  0.500  0.500
Cr  0.500  0.000  0.500
W  0.500  0.500  0.000

Properties
The value obtained for the theoretical density is 9.47 g/cm³. The energy of formation is -0.034 eV/atom. For the total magnetization, the calculation gives 0.713 μB/atom.